Here is a geometry-optimized Nd2SmDyS6 structure from Alexandria via LeMat-Bulk. Energies are from PBE-GGA.

```
Nd2SmDyS6
1.0
3.552 2.051 6.252
-3.552 2.051 6.252
0.000 -4.102 6.252
Nd Sm Dy S
2 1 1 6
direct
0.000 0.000 0.000 Nd
0.498 0.498 0.498 Nd
0.206 0.206 0.206 Sm
0.704 0.704 0.704 Dy
0.088 0.413 0.814 S
0.317 0.904 0.596 S
0.413 0.814 0.088 S
0.596 0.317 0.904 S
0.814 0.088 0.413 S
0.904 0.596 0.317 S
```

Results
Magnetization, μB per formula unit: 0.00
Electronic total energy, eV/atom: -6.390